(1)
K2HgSe, relaxed, DFT PBE; total magnetization = 0.0 μB per formula unit; energy relative to the elements, uncorrected = -0.601 eV/atom
1.0
4.683 0.000 0.000
0.000 4.709 0.000
0.000 0.000 6.590
K Hg Se
2 1 1
Direct
0.000 0.000 0.937 K
0.500 0.500 0.325 K
0.500 0.500 0.792 Hg
0.000 0.000 0.445 Se


(2)
KHg5Se4, relaxed, DFT PBE; total magnetization = 0.0 μB per formula unit; energy relative to the elements, uncorrected = -0.252 eV/atom
1.0
5.479 0.000 0.000
0.000 9.199 0.000
0.000 0.000 12.420
Se Hg K
8 10 2
Direct
0.510 0.235 0.000 Se
0.943 0.500 0.792 Se
0.490 0.265 0.500 Se
0.510 0.765 0.000 Se
0.057 0.000 0.708 Se
0.943 0.500 0.208 Se
0.057 0.000 0.292 Se
0.490 0.735 0.500 Se
0.303 0.306 0.806 Hg
0.697 0.194 0.306 Hg
0.303 0.306 0.194 Hg
0.697 0.806 0.306 Hg
0.697 0.806 0.694 Hg
0.303 0.694 0.806 Hg
0.303 0.694 0.194 Hg
0.717 0.500 0.000 Hg
0.697 0.194 0.694 Hg
0.283 0.000 0.500 Hg
0.993 0.000 0.000 K
0.007 0.500 0.500 K


(3)
KHgSe2, relaxed, DFT PBE; total magnetization = 0.0 μB per formula unit; energy relative to the elements, uncorrected = 0.053 eV/atom
1.0
-11.592 0.147 -4.384
-10.557 -2.402 -6.032
-11.688 -2.769 -3.053
Hg Se K
1 2 1
Direct
0.250 0.250 0.250 Hg
0.489 0.489 0.489 Se
0.011 0.011 0.011 Se
0.750 0.750 0.750 K


(4)
K2HgSe, relaxed, DFT PBE; total magnetization = 0.0 μB per formula unit; energy relative to the elements, uncorrected = -0.787 eV/atom
1.0
0.000 4.016 4.016
4.016 0.000 4.016
4.016 4.016 0.000
Se K Hg
1 2 1
Direct
0.000 0.000 0.000 Se
0.750 0.750 0.750 K
0.250 0.250 0.250 K
0.500 0.500 0.500 Hg


(5)
KHg2Se, relaxed, DFT PBE; total magnetization = 0.0 μB per formula unit; energy relative to the elements, uncorrected = -0.381 eV/atom
1.0
7.684 -0.028 -0.017
6.384 4.277 -0.017
6.384 1.928 3.818
K Hg Se
1 2 1
Direct
0.490 0.490 0.490 K
0.268 0.268 0.268 Hg
0.008 0.008 0.008 Hg
0.734 0.734 0.734 Se


(6)
K3HgSe2, relaxed, DFT PBE; total magnetization = 0.8 μB per formula unit; energy relative to the elements, uncorrected = -0.805 eV/atom
1.0
-6.408 -1.717 -3.799
-1.396 -6.306 5.204
0.083 8.499 3.712
K Hg Se
6 2 4
Direct
0.227 0.977 0.453 K
0.500 0.750 0.000 K
0.227 0.477 0.453 K
0.773 0.023 0.547 K
0.500 0.250 0.000 K
0.773 0.523 0.547 K
0.000 0.000 0.000 Hg
0.000 0.500 0.000 Hg
0.411 0.633 0.266 Se
0.144 0.867 0.734 Se
0.589 0.367 0.734 Se
0.856 0.133 0.266 Se


(7)
KHgSe2, relaxed, DFT PBE; total magnetization = 0.0 μB per formula unit; energy relative to the elements, uncorrected = -0.387 eV/atom
1.0
5.796 0.000 0.000
0.000 3.119 -0.001
0.000 0.004 5.795
K Se Hg
1 2 1
Direct
0.500 0.750 0.875 K
0.500 0.249 0.375 Se
0.000 0.250 0.875 Se
0.000 0.250 0.375 Hg


(8)
K2Hg2Se3, relaxed, DFT PBE; total magnetization = 0.0 μB per formula unit; energy relative to the elements, uncorrected = -0.633 eV/atom
1.0
-0.348 -2.389 3.824
-5.039 -4.958 -3.557
7.588 -0.344 -2.197
Hg Se K
2 3 2
Direct
0.815 0.700 0.629 Hg
0.185 0.300 0.371 Hg
0.203 0.670 0.406 Se
0.000 0.000 0.000 Se
0.797 0.330 0.594 Se
0.408 0.161 0.816 K
0.592 0.839 0.184 K


(9)
K2HgSe, relaxed, DFT PBE; total magnetization = 0.0 μB per formula unit; energy relative to the elements, uncorrected = -0.610 eV/atom
1.0
-0.543 4.486 3.397
-3.722 -0.110 4.253
1.822 -0.265 5.345
K Hg Se
2 1 1
Direct
0.250 0.250 0.250 K
0.000 0.000 0.000 K
0.500 0.500 0.500 Hg
0.750 0.750 0.750 Se


(10)
K2HgSe, relaxed, DFT PBE; total magnetization = 0.0 μB per formula unit; energy relative to the elements, uncorrected = -0.748 eV/atom
1.0
5.214 0.000 0.000
2.607 4.516 0.000
2.607 1.505 7.300
Se Hg K
1 1 2
Direct
0.655 0.655 0.034 Se
0.514 0.514 0.457 Hg
0.274 0.274 0.178 K
0.056 0.056 0.831 K


(11)
KHgSe2, relaxed, DFT PBE; total magnetization = 0.0 μB per formula unit; energy relative to the elements, uncorrected = -0.172 eV/atom
1.0
-0.300 -0.813 4.371
2.228 -3.821 -0.558
4.597 2.564 0.793
Se K Hg
2 1 1
Direct
0.500 0.500 0.000 Se
0.000 0.000 0.000 Se
0.000 0.500 0.500 K
0.500 0.000 0.500 Hg


(12)
KHg2Se, relaxed, DFT PBE; total magnetization = 0.0 μB per formula unit; energy relative to the elements, uncorrected = -0.343 eV/atom
1.0
5.869 -0.264 0.240
1.045 5.781 -0.240
-2.799 -3.583 3.728
K Hg Se
1 2 1
Direct
0.491 0.491 0.000 K
0.018 0.018 0.000 Hg
0.789 0.289 0.500 Hg
0.202 0.702 0.500 Se